[1]
Below is an optimized crystal structure of Np4TlS6, with properties calculated at the PBE level.

Summary:
The value obtained for the size of the total moment is 1.509 μB per atom. The volume is 24.809 Å³/atom. As for the space group: No. 121. As for the total energy: -8.18 eV/atom.

The structure in POSCAR format:
```
Np4TlS6
1.0
-3.7587 3.7587 4.8291
3.7587 -3.7587 4.8291
3.7587 3.7587 -4.8291
Np Tl S
4 1 6
direct
0.1934 0.1934 0.5884
0.3950 0.8066 0.0000
0.6050 0.6050 0.4116
0.8066 0.3950 0.0000
0.0000 0.0000 0.0000
0.0000 0.5000 0.5000
0.1780 0.4689 0.0000
0.4689 0.1780 0.0000
0.5000 0.0000 0.5000
0.5311 0.5311 0.7091
0.8220 0.8220 0.2909
```

=====

[2]
Below is an optimized crystal structure of Np3Tl2S8, with properties calculated at the PBE level.

Summary:
The value obtained for the size of the total moment is 0.538 μB per atom. The volume is 30.370 Å³/atom. As for the space group: No. 12. As for the total energy: -6.86 eV/atom.

The structure in POSCAR format:
```
Np3Tl2S8
1.0
7.5184 -4.0164 0.0000
7.5184 4.0164 0.0000
-2.1278 0.0000 6.5372
Np Tl S
3 2 8
direct
0.0000 0.0000 0.0000
0.2551 0.7449 0.5000
0.7449 0.2551 0.5000
0.2694 0.2694 0.8402
0.7306 0.7306 0.1598
0.0957 0.0957 0.4006
0.1280 0.6763 0.1137
0.3237 0.8720 0.8863
0.3968 0.3968 0.5467
0.6032 0.6032 0.4533
0.6763 0.1280 0.1137
0.8720 0.3237 0.8863
0.9043 0.9043 0.5994
```

=====

[3]
Below is an optimized crystal structure of NpTl3S4, with properties calculated at the PBE level.

Summary:
The value obtained for the size of the total moment is 0.250 μB per atom. The volume is 28.904 Å³/atom. As for the space group: No. 13. As for the total energy: -5.28 eV/atom.

The structure in POSCAR format:
```
NpTl3S4
1.0
7.7569 0.0000 0.0000
0.0000 8.7727 0.0000
-2.3488 0.0000 6.7961
Np Tl S
2 6 8
direct
0.0000 0.1098 0.2500
0.0000 0.8902 0.7500
0.0000 0.3906 0.7500
0.0000 0.6094 0.2500
0.5000 0.1227 0.7500
0.5000 0.3631 0.2500
0.5000 0.6369 0.7500
0.5000 0.8773 0.2500
0.1940 0.1012 0.9989
0.1940 0.8988 0.4989
0.2105 0.3165 0.4497
0.2105 0.6835 0.9497
0.7895 0.3165 0.0503
0.7895 0.6835 0.5503
0.8060 0.1012 0.5011
0.8060 0.8988 0.0011
```

=====

[4]
Below is an optimized crystal structure of NpTlS3, with properties calculated at the PBE level.

Summary:
The value obtained for the size of the total moment is 0.400 μB per atom. The volume is 27.548 Å³/atom. As for the space group: No. 221. As for the total energy: -6.39 eV/atom.

The structure in POSCAR format:
```
NpTlS3
1.0
5.1644 0.0000 0.0000
0.0000 5.1644 0.0000
0.0000 0.0000 5.1644
Np Tl S
1 1 3
direct
0.0000 0.0000 0.0000
0.5000 0.5000 0.5000
0.0000 0.0000 0.5000
0.0000 0.5000 0.0000
0.5000 0.0000 0.0000
```